(1)
An optimized crystal structure of Dy4Y3Pd2. Source: Alexandria via LeMat-Bulk, functional PBE.

a b c (Å): 8.2727 8.2727 9.2737
angles (deg): 113.49 113.49 26.02
Fractional coordinates of all 9 atoms:
Dy: 0.0880 0.0880 0.1834
Dy: 0.3205 0.3205 0.4593
Dy: 0.6795 0.6795 0.5407
Dy: 0.9120 0.9120 0.8166
Y: 0.0000 0.0000 0.5000
Y: 0.3670 0.3670 0.1210
Y: 0.6330 0.6330 0.8790
Pd: 0.2568 0.2568 0.7874
Pd: 0.7432 0.7432 0.2126

* space group: C2/m
* total DFT energy (no corrections): -51.38 eV/f.u.


(2)
An optimized crystal structure of Dy6YPd3. Source: Alexandria via LeMat-Bulk, functional PBE.

a b c (Å): 8.7116 8.7116 7.2258
angles (deg): 90.00 90.00 98.31
Fractional coordinates of all 20 atoms:
Dy: 0.0340 0.4201 0.6613
Dy: 0.0345 0.9655 0.5000
Dy: 0.2308 0.7692 0.8583
Dy: 0.2918 0.3706 0.0076
Dy: 0.3706 0.2918 0.5076
Dy: 0.4201 0.0340 0.1613
Dy: 0.5799 0.9660 0.6613
Dy: 0.6294 0.7082 0.0076
Dy: 0.7082 0.6294 0.5076
Dy: 0.7692 0.2308 0.3583
Dy: 0.9655 0.0345 0.0000
Dy: 0.9660 0.5799 0.1613
Y: 0.3186 0.6814 0.3780
Y: 0.6814 0.3186 0.8780
Pd: 0.0872 0.2903 0.2947
Pd: 0.2903 0.0872 0.7947
Pd: 0.4245 0.5755 0.7149
Pd: 0.5755 0.4245 0.2149
Pd: 0.7097 0.9128 0.2947
Pd: 0.9128 0.7097 0.7947

* space group: Cmc2_1
* total DFT energy (no corrections): -54.68 eV/f.u.


(3)
An optimized crystal structure of DyY2Pd. Source: Alexandria via LeMat-Bulk, functional PBE.

a b c (Å): 7.0332 9.7283 6.5064
angles (deg): 90.00 90.00 90.00
Fractional coordinates of all 16 atoms:
Dy: 0.0241 0.2500 0.1327
Dy: 0.4759 0.7500 0.6327
Dy: 0.5241 0.2500 0.3673
Dy: 0.9759 0.7500 0.8673
Y: 0.1807 0.0596 0.6773
Y: 0.1807 0.4404 0.6773
Y: 0.3193 0.5596 0.1773
Y: 0.3193 0.9404 0.1773
Y: 0.6807 0.0596 0.8227
Y: 0.6807 0.4404 0.8227
Y: 0.8193 0.5596 0.3227
Y: 0.8193 0.9404 0.3227
Pd: 0.1108 0.7500 0.4481
Pd: 0.3892 0.2500 0.9481
Pd: 0.6108 0.7500 0.0519
Pd: 0.8892 0.2500 0.5519

* energy above the most stable polymorph in this dataset: 0 meV/atom
* space group: Pnma


(4)
An optimized crystal structure of Dy4YPd5. Source: Alexandria via LeMat-Bulk, functional PBE.

a b c (Å): 3.4766 3.4766 17.8890
angles (deg): 90.00 90.00 90.00
Fractional coordinates of all 10 atoms:
Dy: 0.0000 0.0000 0.0998
Dy: 0.0000 0.0000 0.2997
Dy: 0.0000 0.0000 0.7003
Dy: 0.0000 0.0000 0.9002
Y: 0.0000 0.0000 0.5000
Pd: 0.5000 0.5000 0.0000
Pd: 0.5000 0.5000 0.1997
Pd: 0.5000 0.5000 0.3982
Pd: 0.5000 0.5000 0.6018
Pd: 0.5000 0.5000 0.8003

* space group: P4/mmm
* total DFT energy (no corrections): -59.62 eV/f.u.


(5)
An optimized crystal structure of Dy3YPd2. Source: Alexandria via LeMat-Bulk, functional PBE.

a b c (Å): 3.7749 9.7102 8.5458
angles (deg): 90.00 90.00 90.00
Fractional coordinates of all 12 atoms:
Dy: 0.0000 0.0663 0.0000
Dy: 0.0000 0.2849 0.3417
Dy: 0.0000 0.7151 0.8417
Dy: 0.0000 0.9337 0.5000
Dy: 0.5000 0.2153 0.6795
Dy: 0.5000 0.7847 0.1795
Y: 0.5000 0.4320 0.0212
Y: 0.5000 0.5680 0.5212
Pd: 0.0000 0.4256 0.7473
Pd: 0.0000 0.5744 0.2473
Pd: 0.5000 0.0736 0.2728
Pd: 0.5000 0.9264 0.7728

* energy above the most stable polymorph in this dataset: 0 meV/atom
* space group: Pmc2_1


(6)
An optimized crystal structure of DyYPd14. Source: Alexandria via LeMat-Bulk, functional PBE.

a b c (Å): 5.7549 5.7549 7.9885
angles (deg): 90.00 90.00 90.00
Fractional coordinates of all 16 atoms:
Dy: 0.0000 0.0000 0.0000
Y: 0.5000 0.5000 0.0000
Pd: 0.0000 0.0000 0.5000
Pd: 0.0000 0.5000 0.0000
Pd: 0.0000 0.5000 0.5000
Pd: 0.2496 0.2496 0.2588
Pd: 0.2496 0.2496 0.7412
Pd: 0.2496 0.7504 0.2588
Pd: 0.2496 0.7504 0.7412
Pd: 0.5000 0.0000 0.0000
Pd: 0.5000 0.0000 0.5000
Pd: 0.5000 0.5000 0.5000
Pd: 0.7504 0.2496 0.2588
Pd: 0.7504 0.2496 0.7412
Pd: 0.7504 0.7504 0.2588
Pd: 0.7504 0.7504 0.7412

* space group: P4/mmm
* total DFT energy (no corrections): -90.29 eV/f.u.


(7)
An optimized crystal structure of Dy4YPd15. Source: Alexandria via LeMat-Bulk, functional PBE.

a b c (Å): 4.1150 4.1150 20.7223
angles (deg): 90.00 90.00 90.00
Fractional coordinates of all 20 atoms:
Dy: 0.0000 0.0000 0.0998
Dy: 0.0000 0.0000 0.2994
Dy: 0.0000 0.0000 0.7006
Dy: 0.0000 0.0000 0.9002
Y: 0.0000 0.0000 0.5000
Pd: 0.0000 0.5000 0.0000
Pd: 0.0000 0.5000 0.1997
Pd: 0.0000 0.5000 0.3994
Pd: 0.0000 0.5000 0.6006
Pd: 0.0000 0.5000 0.8003
Pd: 0.5000 0.0000 0.0000
Pd: 0.5000 0.0000 0.1997
Pd: 0.5000 0.0000 0.3994
Pd: 0.5000 0.0000 0.6006
Pd: 0.5000 0.0000 0.8003
Pd: 0.5000 0.5000 0.0998
Pd: 0.5000 0.5000 0.2997
Pd: 0.5000 0.5000 0.5000
Pd: 0.5000 0.5000 0.7003
Pd: 0.5000 0.5000 0.9002

* space group: P4/mmm
* total DFT energy (no corrections): -120.26 eV/f.u.


(8)
An optimized crystal structure of DyY4Pd2. Source: Alexandria via LeMat-Bulk, functional PBE.

a b c (Å): 15.8071 15.8071 15.8071
angles (deg): 14.09 14.09 14.09
Fractional coordinates of all 7 atoms:
Dy: 0.0000 0.0000 0.0000
Y: 0.1982 0.1982 0.1982
Y: 0.3941 0.3941 0.3941
Y: 0.6059 0.6059 0.6059
Y: 0.8018 0.8018 0.8018
Pd: 0.0980 0.0980 0.0980
Pd: 0.9020 0.9020 0.9020

* energy above the most stable polymorph in this dataset: 0 meV/atom
* space group: R-3m


Number 1: magnetization 0.002 μB/cell. Number 2: magnetization 0.000 μB/cell. Number 3: magnetization 0.002 μB/cell. Number 4: magnetization 0.000 μB/cell. Number 5: magnetization 0.494 μB/cell. Number 6: magnetization 0.000 μB/cell. Number 7: magnetization 0.000 μB/cell. Number 8: magnetization 0.000 μB/cell.